[1]
The following is a DFT calculation (PBE) of crystalline Nd2Dy8Ho at its relaxed geometry.

E above lowest polymorph, eV/atom: 0.137
Energy relative to the elements, meV per atom: 157

Unit cell a=9.031 b=16.086 c=5.898 alpha=90.00 beta=122.90 gamma=90.00
Space group C2/m (No. 12)
Unique sites:
Nd 0.000 0.193 0.000 x4
Dy 0.000 0.293 0.500 x4
Dy 0.074 0.000 0.296 x4
Dy 0.214 0.385 0.173 x8
Ho 0.000 0.500 0.500 x2



[2]
The following is a DFT calculation (PBE) of crystalline Sr2H4RhAu2 at its relaxed geometry.

Calculated total energy, eV per atom: -3.869

Unit cell a=6.019 b=6.019 c=8.034 alpha=90.00 beta=90.00 gamma=90.00
Space group I4/mmm (No. 139)
Unique sites:
Sr 0.000 0.500 0.250 x4
H 0.199 0.199 0.000 x8
Rh 0.000 0.000 0.000 x2
Au 0.000 0.000 0.336 x4



[3]
The following is a DFT calculation (PBE) of crystalline TbHo4ErSc2 at its relaxed geometry.

Energy relative to the elements, meV per atom: 31

Unit cell a=6.970 b=6.972 c=11.174 alpha=90.01 beta=90.01 gamma=119.99
Space group P-1 (No. 2)
Unique sites:
Tb 0.000 0.000 0.000 x1
Tb 0.500 0.500 0.000 x1
Ho 0.164 0.332 0.745 x2
Ho 0.167 0.834 0.744 x2
Ho 0.334 0.165 0.253 x2
Ho 0.334 0.669 0.253 x2
Er 0.000 0.500 0.000 x1
Er 0.500 0.500 0.500 x1
Sc 0.000 0.000 0.500 x1
Sc 0.000 0.500 0.500 x1
Sc 0.500 0.000 0.000 x1
Sc 0.500 0.000 0.500 x1



[4]
The following is a DFT calculation (PBE) of crystalline PmNi2Sn at its relaxed geometry.

E above lowest polymorph, eV/atom: 0.055
Energy relative to the elements, meV per atom: -407

Unit cell a=4.064 b=18.407 c=4.196 alpha=90.00 beta=90.00 gamma=90.00
Space group Cmcm (No. 63)
Unique sites:
Pm 0.000 0.091 0.250 x4
Ni 0.000 0.252 0.750 x4
Ni 0.000 0.469 0.250 x4
Sn 0.000 0.329 0.250 x4



[5]
The following is a DFT calculation (PBE) of crystalline Sc5Al at its relaxed geometry.

E above lowest polymorph, eV/atom: 0.033
Energy relative to the elements, meV per atom: -110

Unit cell a=11.680 b=3.237 c=8.516 alpha=90.00 beta=120.67 gamma=90.00
Space group Cm (No. 8)
Unique sites:
Sc 0.000 0.000 0.000 x2
Sc 0.022 0.500 0.678 x2
Sc 0.239 0.000 0.620 x2
Sc 0.265 0.000 0.989 x2
Sc 0.291 0.500 0.325 x2
Al 0.018 0.500 0.322 x2



[6]
The following is a DFT calculation (PBE) of crystalline Nb2Cu3Pd3 at its relaxed geometry.

Energy relative to the elements, meV per atom: -143

Unit cell a=7.2549 b=7.2549 c=7.8227 alpha=90.00 beta=90.00 gamma=120.00
Space group R32 (No. 155, hexagonal axes)
Unique sites:
Nb 0.0000 0.0000 0.2178 x6
Cu 0.0000 0.2962 0.0000 x9
Pd 0.0000 0.7498 0.5000 x9



[7]
The following is a DFT calculation (PBE) of crystalline YCdIr2 at its relaxed geometry.

Energy relative to the elements, meV per atom: -18

Unit cell a=5.986 b=9.128 c=2.983 alpha=90.00 beta=115.11 gamma=90.00
Space group C2/m (No. 12)
Unique sites:
Y 0.000 0.000 0.000 x2
Cd 0.000 0.500 0.000 x2
Ir 0.250 0.250 0.500 x4



[8]
The following is a DFT calculation (PBE) of crystalline CsMg2Pb4 at its relaxed geometry.

Energy relative to the elements, meV per atom: -41

Unit cell a=4.614 b=4.680 c=22.961 alpha=90.00 beta=90.00 gamma=90.00
Space group Immm (No. 71)
Unique sites:
Cs 0.000 0.000 0.000 x2
Mg 0.000 0.500 0.183 x4
Pb 0.000 0.000 0.402 x4
Pb 0.000 0.500 0.313 x4



[9]
The following is a DFT calculation (PBE) of crystalline TaRe at its relaxed geometry.

Energy relative to the elements, meV per atom: 214

Unit cell a=2.643 b=10.809 c=4.712 alpha=90.00 beta=90.00 gamma=90.00
Space group Cmcm (No. 63)
Unique sites:
Ta 0.000 0.075 0.250 x4
Re 0.000 0.327 0.250 x4



[10]
The following is a DFT calculation (PBE) of crystalline La2Pm4Nd2Tm at its relaxed geometry.

Energy relative to the elements, meV per atom: 12

Unit cell a=19.140 b=3.697 c=9.818 alpha=90.00 beta=115.54 gamma=90.00
Space group C2/m (No. 12)
Unique sites:
La 0.164 0.000 0.499 x4
Pm 0.019 0.000 0.829 x4
Pm 0.185 0.500 0.834 x4
Nd 0.147 0.500 0.166 x4
Tm 0.000 0.500 0.500 x2



[11]
The following is a DFT calculation (PBE) of crystalline RbSrAgTe2 at its relaxed geometry.

Formation energy from raw total energies, eV/atom: -0.950

Unit cell a=8.495 b=17.152 c=6.040 alpha=90.00 beta=90.00 gamma=90.00
Space group Cmme (No. 67)
Unique sites:
Rb 0.000 0.250 0.224 x4
Sr 0.250 0.000 0.500 x4
Ag 0.000 0.000 0.000 x4
Te 0.000 0.121 0.729 x8



[12]
The following is a DFT calculation (PBE) of crystalline Y2Th3 at its relaxed geometry.

E above lowest polymorph, eV/atom: 0.000
Energy relative to the elements, meV per atom: 41

Unit cell a=3.5756 b=3.5756 c=14.5874 alpha=90.00 beta=90.00 gamma=120.00
Space group P-3m1 (No. 164)
Unique sites:
Y 0.3333 0.6667 0.3045 x2
Th 0.0000 0.0000 0.5000 x1
Th 0.3333 0.6667 0.9012 x2